[1]
VASP calculation (PBE) on a relaxed Ag2Te3S4 crystal.

```
Ag2Te3S4
1.0
8.1618 0.5641 -0.1714
0.7429 8.8469 2.9766
-0.4818 1.3842 8.5789
Ag Te S
4 6 8
direct
0.5832 0.2196 0.3582 Ag
0.8116 0.4347 0.1318 Ag
0.1884 0.5653 0.8682 Ag
0.4168 0.7804 0.6418 Ag
0.3881 0.9182 0.9557 Te
0.2040 0.5818 0.4125 Te
0.9952 0.0526 0.1351 Te
0.0048 0.9474 0.8649 Te
0.6119 0.0818 0.0443 Te
0.7960 0.4182 0.5875 Te
0.0258 0.6550 0.0428 S
0.4452 0.0240 0.6605 S
0.0483 0.2837 0.5719 S
0.3817 0.5133 0.6898 S
0.9517 0.7163 0.4281 S
0.5548 0.9760 0.3395 S
0.9742 0.3450 0.9572 S
0.6183 0.4867 0.3102 S
```

Properties
Formation energy from raw total energies in meV/atom: 88
Calculated density in g/cm³: 4.16
Electronic total energy in eV/atom: -3.427



[2]
VASP calculation (PBE) on a relaxed AlCrGa2 crystal.

```
AlCrGa2
1.0
-1.2427 -2.5740 -2.6447
2.7088 -2.5407 1.2000
-2.5187 -1.4567 2.6013
Cr Ga Al
1 2 1
direct
0.5000 0.0000 0.0000 Cr
0.0000 0.5000 0.0000 Ga
0.0000 0.0000 0.5000 Ga
0.5000 0.5000 0.5000 Al
```

Properties
Calculated density in g/cm³: 6.11
ΔE_f in eV per atom: 0.0000
Electronic total energy in eV/atom: -4.855



[3]
VASP calculation (PBE) on a relaxed CsPd2Au2 crystal.

```
CsPd2Au2
1.0
4.4368 0.0000 0.0000
0.0000 4.4368 0.0000
2.2184 2.2184 6.0244
Au Pd Cs
2 2 1
direct
0.2500 0.7500 0.5000 Au
0.7500 0.2500 0.5000 Au
0.6141 0.6141 0.7718 Pd
0.3859 0.3859 0.2282 Pd
0.0000 0.0000 0.0000 Cs
```

Properties
Offset from the most stable computed form in meV per atom: 59
Calculated density in g/cm³: 10.36
ΔE_f in eV per atom: 0.1372
Electronic total energy in eV/atom: -3.422



[4]
VASP calculation (PBE) on a relaxed TaCo2Br crystal.

```
TaCo2Br
1.0
2.6163 1.2075 3.2863
0.4187 4.2295 1.0190
-1.7212 1.5340 3.7131
Br Co Ta
1 2 1
direct
0.0000 0.0000 0.0000 Br
0.2500 0.2500 0.2500 Co
0.7500 0.7500 0.7500 Co
0.5000 0.5000 0.5000 Ta
```

Properties
Offset from the most stable computed form in meV per atom: 637
Formation energy from raw total energies in meV/atom: 781
Calculated density in g/cm³: 10.65
Electronic total energy in eV/atom: -6.153